VASP calculation (PBE) on an optimized crystal structure of NaLiPrSn.

abc: 5.290 5.290 5.290
angles: 60.00 60.00 60.00
Fractional coordinates of all 4 atoms:
Pr  0.000  0.000  0.000
Na  0.750  0.750  0.750
Sn  0.250  0.250  0.250
Li  0.500  0.500  0.500

Calculated values
Size of the total moment ... 0.000 μB per cell
D(E_F) ... 3.1 states/eV per cell
Raw total energy ... -3.3259 eV/atom
ΔE_f ... -124 kJ/mol of formula units